No. 1
Here is Ta2Bi2Pt after structural relaxation from the Alexandria database. Energies are from PBE.

Geometry as POSCAR:
```
Ta2Bi2Pt
1.0
5.163 0.000 0.000
0.000 5.163 0.000
0.000 0.000 5.680
Bi Pt Ta
2 1 2
Direct
0.000 0.000 0.000
0.000 0.000 0.500
0.500 0.500 0.500
0.000 0.500 0.000
0.500 0.000 0.000
```

Output
- E_tot: -26.1 eV per cell
- Distance to the lowest polymorph of the same formula: 1617 meV/atom
- Magnetization: 1.140 Bohr magnetons per cell
- Formation energy: 2.291 eV per atom

***

No. 2
Here is Ta2Bi2Pt after structural relaxation from the Alexandria database. Energies are from PBE.

Geometry as POSCAR:
```
Ta2Bi2Pt
1.0
3.693 0.000 0.000
0.000 3.693 0.000
1.846 1.846 8.784
Bi Pt Ta
2 1 2
Direct
0.402 0.402 0.196
0.598 0.598 0.804
0.000 0.000 0.000
0.750 0.250 0.500
0.250 0.750 0.500
```

Output
- E_tot: -34.1 eV per cell
- Distance to the lowest polymorph of the same formula: 0 meV/atom
- Magnetization: 0.000 Bohr magnetons per cell
- Formation energy: 0.674 eV per atom

***

No. 3
Here is Ta2BiPt2 after structural relaxation from the Alexandria database. Energies are from PBE.

Geometry as POSCAR:
```
Ta2BiPt2
1.0
8.115 0.000 0.000
0.000 8.115 0.000
0.000 0.000 2.944
Bi Pt Ta
2 4 4
Direct
0.000 0.000 0.000
0.500 0.500 0.000
0.371 0.871 0.000
0.871 0.629 0.000
0.629 0.129 0.000
0.129 0.371 0.000
0.161 0.661 0.500
0.661 0.839 0.500
0.839 0.339 0.500
0.339 0.161 0.500
```

Output
- E_tot: -80.9 eV per cell
- Distance to the lowest polymorph of the same formula: 0 meV/atom
- Magnetization: 0.000 Bohr magnetons per cell
- Formation energy: -0.157 eV per atom

***

No. 4
Here is TaBi2Pt after structural relaxation from the Alexandria database. Energies are from PBE.

Geometry as POSCAR:
```
TaBi2Pt
1.0
4.482 0.000 0.000
0.000 4.482 0.000
2.241 2.241 9.611
Bi Pt Ta
4 2 2
Direct
0.627 0.125 0.250
0.123 0.625 0.250
0.375 0.373 0.750
0.875 0.877 0.750
0.000 0.000 0.000
0.750 0.250 0.500
0.500 0.500 0.000
0.250 0.750 0.500
```

Output
- E_tot: -46.9 eV per cell
- Distance to the lowest polymorph of the same formula: 97 meV/atom
- Magnetization: 0.000 Bohr magnetons per cell
- Formation energy: 0.556 eV per atom

***

No. 5
Here is TaBiPt2 after structural relaxation from the Alexandria database. Energies are from PBE.

Geometry as POSCAR:
```
TaBiPt2
1.0
7.516 0.000 0.000
0.000 7.516 0.000
3.758 3.758 2.877
Bi Pt Ta
2 4 2
Direct
0.000 0.000 0.000
0.750 0.250 0.500
0.603 0.125 0.250
0.147 0.625 0.250
0.375 0.397 0.750
0.875 0.853 0.750
0.500 0.500 0.000
0.250 0.750 0.500
```

Output
- E_tot: -55.8 eV per cell
- Magnetization: 0.000 Bohr magnetons per cell
- Formation energy: -0.018 eV per atom

***

No. 6
Here is Ta2BiPt2 after structural relaxation from the Alexandria database. Energies are from PBE.

Geometry as POSCAR:
```
Ta2BiPt2
1.0
8.075 0.000 0.000
0.000 8.075 0.000
0.000 0.000 2.961
Bi Pt Ta
2 4 4
Direct
0.000 0.000 0.000
0.500 0.500 0.000
0.129 0.629 0.500
0.629 0.871 0.500
0.871 0.371 0.500
0.371 0.129 0.500
0.339 0.839 0.000
0.839 0.661 0.000
0.661 0.161 0.000
0.161 0.339 0.000
```

Output
- E_tot: -80.6 eV per cell
- Distance to the lowest polymorph of the same formula: 33 meV/atom
- Magnetization: 0.000 Bohr magnetons per cell
- Formation energy: -0.124 eV per atom

***

No. 7
Here is Ta2TiBiPt after structural relaxation from the Alexandria database. Energies are from PBE.

Geometry as POSCAR:
```
Ta2TiBiPt
1.0
4.886 0.000 0.000
0.000 5.444 0.000
0.000 0.000 4.886
Ti Bi Pt Ta
1 1 1 2
Direct
0.500 0.500 0.500
0.000 0.500 0.000
0.000 0.000 0.000
0.000 0.000 0.500
0.500 0.000 0.000
```

Output
- E_tot: -35.2 eV per cell
- Magnetization: 1.491 Bohr magnetons per cell
- Formation energy: 1.257 eV per atom

***

No. 8
Here is TbBiPt after structural relaxation from the Alexandria database. Energies are from PBE.

Geometry as POSCAR:
```
TbBiPt
1.0
4.778 0.000 0.000
2.389 4.138 0.000
2.389 1.379 3.901
Tb Bi Pt
1 1 1
Direct
0.750 0.750 0.750
0.250 0.250 0.250
0.000 0.000 0.000
```

Output
- E_tot: -17.7 eV per cell
- Magnetization: 0.000 Bohr magnetons per cell
- Formation energy: -1.047 eV per atom

***

E_tot of number 7 (Ta2TiBiPt)? -35.2 eV per cell